Below is an optimized crystal structure of CsGaSb2Pb, with properties calculated at the PBE level.

Results
The uncorrected formation energy is -0.11 eV/atom.

Structure (CIF):
```
data_CsGaSb2Pb
_cell_length_a 8.719
_cell_length_b 8.719
_cell_length_c 7.135
_cell_angle_alpha 90.00
_cell_angle_beta 90.00
_cell_angle_gamma 130.39
_space_group_name_H-M_alt 'P 1'
_space_group_IT_number 1
_space_group_name_Hall 'P 1'
loop_
_atom_site_label
_atom_site_type_symbol
_atom_site_fract_x
_atom_site_fract_y
_atom_site_fract_z
Cs1 Cs 0.250 0.750 0.752
Cs2 Cs 0.750 0.250 0.248
Ga1 Ga 0.000 0.000 0.000
Ga2 Ga 0.500 0.500 0.000
Sb1 Sb 0.119 0.881 0.238
Sb2 Sb 0.381 0.619 0.238
Sb3 Sb 0.619 0.381 0.762
Sb4 Sb 0.881 0.119 0.762
Pb1 Pb 0.250 0.250 0.500
Pb2 Pb 0.750 0.750 0.500
```

***

Below is an optimized crystal structure of Cs2GaSb2Pb, with properties calculated at the PBE level.

Results
The uncorrected formation energy is -0.33 eV/atom.

Structure (CIF):
```
data_Cs2GaSb2Pb
_cell_length_a 9.957
_cell_length_b 9.957
_cell_length_c 9.957
_cell_angle_alpha 133.68
_cell_angle_beta 66.45
_cell_angle_gamma 135.15
_space_group_name_H-M_alt 'P 1'
_space_group_IT_number 1
_space_group_name_Hall 'P 1'
loop_
_atom_site_label
_atom_site_type_symbol
_atom_site_fract_x
_atom_site_fract_y
_atom_site_fract_z
Cs1 Cs 0.169 0.239 0.408
Cs2 Cs 0.331 0.739 0.070
Cs3 Cs 0.669 0.261 0.930
Cs4 Cs 0.831 0.761 0.592
Ga1 Ga 0.250 0.250 0.000
Ga2 Ga 0.750 0.750 0.000
Sb1 Sb 0.083 0.779 0.861
Sb2 Sb 0.417 0.279 0.696
Sb3 Sb 0.583 0.721 0.304
Sb4 Sb 0.917 0.221 0.139
Pb1 Pb 0.250 0.750 0.500
Pb2 Pb 0.750 0.250 0.500
```

***

Below is an optimized crystal structure of Cs2Ga3Sn4Pb, with properties calculated at the PBE level.

Results
For the formation energy from the elements, the calculation gives -120 meV/atom.

Structure (CIF):
```
data_Cs2Ga3Sn4Pb
_cell_length_a 5.242
_cell_length_b 5.242
_cell_length_c 11.468
_cell_angle_alpha 90.00
_cell_angle_beta 90.00
_cell_angle_gamma 90.00
_space_group_name_H-M_alt 'P 1'
_space_group_IT_number 1
_space_group_name_Hall 'P 1'
loop_
_atom_site_label
_atom_site_type_symbol
_atom_site_fract_x
_atom_site_fract_y
_atom_site_fract_z
Cs1 Cs 0.000 0.500 0.249
Cs2 Cs 0.500 0.000 0.751
Ga1 Ga 0.000 0.500 0.881
Ga2 Ga 0.500 0.000 0.119
Ga3 Ga 0.500 0.500 0.500
Sn1 Sn 0.000 0.000 0.000
Sn2 Sn 0.000 0.500 0.634
Sn3 Sn 0.500 0.000 0.366
Sn4 Sn 0.500 0.500 0.000
Pb1 Pb 0.000 0.000 0.500
```

***

Below is an optimized crystal structure of CsGaTe3Pb, with properties calculated at the PBE level.

Results
The uncorrected formation energy is -0.56 eV/atom.

Structure (CIF):
```
data_CsGaTe3Pb
_cell_length_a 10.485
_cell_length_b 4.631
_cell_length_c 10.997
_cell_angle_alpha 90.00
_cell_angle_beta 110.14
_cell_angle_gamma 90.00
_space_group_name_H-M_alt 'P 1'
_space_group_IT_number 1
_space_group_name_Hall 'P 1'
loop_
_atom_site_label
_atom_site_type_symbol
_atom_site_fract_x
_atom_site_fract_y
_atom_site_fract_z
Cs1 Cs 0.232 0.250 0.250
Cs2 Cs 0.768 0.750 0.750
Ga1 Ga 0.079 0.250 0.630
Ga2 Ga 0.921 0.750 0.370
Te1 Te 0.093 0.250 0.867
Te2 Te 0.178 0.750 0.550
Te3 Te 0.488 0.750 0.181
Te4 Te 0.512 0.250 0.819
Te5 Te 0.822 0.250 0.450
Te6 Te 0.907 0.750 0.133
Pb1 Pb 0.337 0.750 0.888
Pb2 Pb 0.663 0.250 0.112
```

***

Number 1: calculated total energy -3.276 eV per atom. Number 2: calculated total energy -3.107 eV per atom. Number 3: calculated total energy -3.171 eV per atom. Number 4: calculated total energy -3.394 eV per atom.